Record 1
MgSc, PBEsol geometry, DFT meta-GGA SCAN; E_form = -0.04 eV per formula unit; space-group type = Imma, No. 74
1.0
-1.8293 -1.8808 2.1691
3.8190 -3.5142 0.1735
1.1423 5.2169 2.8156
Sc Mg
2 2
Direct
0.8812 0.1312 0.7625
0.1188 0.8688 0.2375
0.3656 0.6156 0.7311
0.6344 0.3844 0.2689

---

Record 2
KBeAu, PBEsol geometry, DFT meta-GGA SCAN; E_form = -0.37 eV per formula unit; space-group type = Imm2, No. 44
1.0
2.9287 0.0000 0.0000
0.0000 3.6952 0.0000
-1.4644 -1.8476 5.9202
Be K Au
1 1 1
Direct
0.5942 0.5942 0.1883
0.3380 0.3380 0.6759
0.0679 0.0679 0.1358

---

Record 3
KSrTl2, PBEsol geometry, DFT meta-GGA SCAN; E_form = -1.30 eV per formula unit; energy above the lowest structure with this stoichiometry = 0.0384 eV per atom; space-group type = Cm, No. 8
1.0
-0.8803 1.1564 3.7233
3.7525 -3.8903 2.0954
2.8908 5.3649 -3.1281
Sr Tl K
1 2 1
Direct
0.2782 0.7794 0.5564
0.0226 0.0205 0.0451
0.7198 0.2220 0.4396
0.4794 0.4781 0.9589

---

Record 4
Ta2BeSi, PBEsol geometry, DFT meta-GGA SCAN; energy above the lowest structure with this stoichiometry = 0.4326 eV per atom; energy relative to the elements, uncorrected = -89 meV/atom; space-group type = Cmm2, No. 35
1.0
-2.0442 0.7248 -1.9533
-1.0588 -2.4379 1.2063
-3.2267 3.7632 4.7732
Be Si Ta
1 1 2
Direct
0.0000 0.0000 0.4705
0.5000 0.5000 0.2931
0.0000 0.0000 0.0322
0.5000 0.5000 0.7042

---

Record 5
TiGaSiCl2, PBEsol geometry, DFT meta-GGA SCAN; energy relative to the elements, uncorrected = -351 meV/atom; space-group type = P4/mmm, No. 123
1.0
-1.2685 -2.8597 3.3276
3.6019 1.2992 2.4896
-2.8716 3.8004 2.1714
Si Cl Ga Ti
1 2 1 1
Direct
0.0000 0.0000 0.5000
0.0000 0.5000 0.0000
0.5000 0.0000 0.0000
0.5000 0.5000 0.5000
0.0000 0.0000 0.0000

---

Record 6
Ca2Mg, PBEsol geometry, DFT meta-GGA SCAN; E_form = -0.08 eV per formula unit; space-group type = C2/m, No. 12
1.0
-0.2842 -3.4826 4.5840
-0.5737 -2.1641 -5.3029
6.9468 -1.0235 -0.3483
Ca Mg
4 2
Direct
0.0275 0.0550 0.0094
0.3611 0.7222 0.2221
0.6947 0.3894 0.4351
0.3611 0.7222 0.7222
0.0283 0.0565 0.5108
0.6939 0.3880 0.9337

---

Record 7
AlCoNiIr2, PBEsol geometry, DFT meta-GGA SCAN; E_form = 5.32 eV per formula unit; space-group type = P4/mmm, No. 123
1.0
-0.0063 -0.4315 -4.1626
4.3433 -0.3018 0.0247
-0.3027 -4.3201 0.4483
Ni Ir Co Al
1 2 1 1
Direct
0.5000 0.5000 0.5000
0.0000 0.0000 0.5000
0.0000 0.5000 0.0000
0.0000 0.0000 0.0000
0.5000 0.0000 0.0000

---

Record 8
Sc2Cu2Sb, PBEsol geometry, DFT meta-GGA SCAN; energy relative to the elements, uncorrected = -573 meV/atom; space-group type = P4/mbm, No. 127
1.0
-2.0823 2.6048 1.8807
2.0964 -2.5914 5.9103
5.2941 4.2444 -0.0169
Sc Sb Cu
4 2 4
Direct
0.5000 0.1669 0.6669
0.5000 0.6669 0.8331
0.5000 0.8331 0.3331
0.5000 0.3331 0.1669
0.0000 0.0000 0.0000
0.0000 0.5000 0.5000
0.0000 0.3758 0.8758
0.0000 0.8758 0.6242
0.0000 0.6242 0.1242
0.0000 0.1242 0.3758

---

Record 9
Cd2Au3, PBEsol geometry, DFT meta-GGA SCAN; E_form = -0.59 eV per formula unit; space-group type = Immm, No. 71
1.0
2.9419 0.0000 0.0000
0.0000 4.1441 0.0000
-1.4709 -2.0721 7.3438
Au Cd
3 2
Direct
0.5998 0.5998 0.1997
0.0000 0.0000 0.0000
0.4002 0.4002 0.8003
0.8051 0.8051 0.6102
0.1949 0.1949 0.3898

---

Record 10
LuNi4Au, PBEsol geometry, DFT meta-GGA SCAN; E_form = -2.59 eV per formula unit; space-group type = F-43m, No. 216
1.0
4.8062 0.0000 0.0000
2.4031 4.1623 0.0000
2.4031 1.3874 3.9243
Lu Ni Au
1 4 1
Direct
0.0000 0.0000 0.0000
0.8735 0.3755 0.3755
0.3755 0.3755 0.3755
0.3755 0.8735 0.3755
0.3755 0.3755 0.8735
0.7500 0.7500 0.7500